Run w
First-principles (PBE with a Hubbard U) data for Li2CrPO4F after structural relaxation, as listed in the Alexandria database.

## Properties
Its total magnetization is 4.0 μB per formula unit.

Lattice parameters (Å, degrees): 5.5118 5.6063 7.6186 108.66 107.46 91.56
Positions (direct):
Cr  0.0052  0.9804  0.9876
Li  0.8099  0.4729  0.1213
P  0.5861  0.8633  0.2361
O  0.7087  0.1758  0.8843
O  0.6456  0.1380  0.3827
Li  0.0064  0.6609  0.5102
Li  0.1794  0.4847  0.8564
O  0.3573  0.8205  0.6232
P  0.4205  0.1003  0.7607
F  0.9178  0.6102  0.7135
F  0.0716  0.3886  0.2987
O  0.2501  0.1600  0.8955
O  0.3072  0.7913  0.0950
O  0.6512  0.6638  0.3423
O  0.7921  0.8324  0.1279
Li  0.0167  0.1581  0.4120
O  0.3370  0.2831  0.6395
Cr  0.5064  0.4806  0.5011


Run x
First-principles (PBE with a Hubbard U) data for Li2CrPO4F after structural relaxation, as listed in the Alexandria database.

## Properties
Its total magnetization is 4.0 μB per formula unit.

Lattice parameters (Å, degrees): 5.3128 5.5637 7.5656 107.62 106.92 94.31
Positions (direct):
O  0.3574  0.2664  0.1007
O  0.3159  0.8601  0.6686
Li  0.7485  0.4449  0.6445
F  0.8284  0.1273  0.7229
O  0.1243  0.6712  0.8768
Li  0.1243  0.5372  0.0988
O  0.6902  0.6047  0.4095
Li  0.5017  0.8884  0.4723
F  0.1623  0.8623  0.2916
Cr  0.0007  0.0032  0.0223
Cr  0.0074  0.9956  0.5104
O  0.3632  0.3973  0.6679
P  0.3605  0.6752  0.7914
O  0.6357  0.7787  0.9524
P  0.6464  0.3364  0.2544
Li  0.5258  0.2122  0.8578
O  0.8376  0.3243  0.1300
O  0.6975  0.1462  0.3692


It is run x that is most stable; the runner-up trails by 0.017 eV/atom.


Run w
First-principles (PBE with a Hubbard U) data for MgCrF3 after structural relaxation, as listed in the Alexandria database.

## Properties
Its total magnetization is 3.8 μB per formula unit.

Lattice parameters (Å, degrees): 4.1828 4.1828 4.1828 90.00 90.00 90.00
Positions (direct):
F  0.5000  0.0000  0.0000
F  0.0000  0.5000  0.0000
Cr  0.0000  0.0000  0.0000
F  0.0000  0.0000  0.5000
Mg  0.5000  0.5000  0.5000


Run x
First-principles (PBE with a Hubbard U) data for MgCrF3 after structural relaxation, as listed in the Alexandria database.

## Properties
Its total magnetization is 5.0 μB per formula unit.

Lattice parameters (Å, degrees): 3.9710 3.9710 3.9710 90.00 90.00 90.00
Positions (direct):
Cr  0.5000  0.5000  0.5000
F  0.5000  0.0000  0.0000
F  0.0000  0.0000  0.5000
F  0.0000  0.5000  0.0000
Mg  0.0000  0.0000  0.0000


It is run x that is most stable; the runner-up trails by 0.556 eV/atom.


Run w
First-principles (PBE with a Hubbard U) data for MgCrF2 after structural relaxation, as listed in the Alexandria database.

## Properties
Its total magnetization is 5.4 μB per formula unit.

Lattice parameters (Å, degrees): 5.5608 5.5608 6.1554 63.15 63.15 90.00
Positions (direct):
F  0.2723  0.6250  0.2500
Cr  0.7500  0.2500  0.5000
F  0.4777  0.1250  0.2500
Mg  0.5000  0.5000  0.0000
F  0.3750  0.5223  0.7500
Mg  0.2500  0.7500  0.5000
Cr  0.0000  0.0000  0.0000
F  0.8750  0.7277  0.7500


Run x
First-principles (PBE with a Hubbard U) data for MgCrF2 after structural relaxation, as listed in the Alexandria database.

## Properties
Its total magnetization is 5.1 μB per formula unit.

Lattice parameters (Å, degrees): 4.2756 4.2756 4.2756 60.00 60.00 60.00
Positions (direct):
Cr  0.5000  0.5000  0.5000
F  0.2500  0.2500  0.2500
Mg  0.0000  0.0000  0.0000
F  0.7500  0.7500  0.7500


It is run w that is most stable; the runner-up trails by 0.508 eV/atom.